VASP calculation (SCAN) on a crystal of CrGaFeSe4 relaxed with PBEsol.

POSCAR file:
```
CrGaFeSe4
1.0
-1.6472 1.3688 3.0343
-3.4442 -1.0707 0.8862
2.7976 -8.9577 7.8325
Se Ga Cr Fe
4 1 1 1
direct
0.2860 0.2860 0.1420
0.1333 0.1333 0.6000
0.7022 0.7022 0.8935
0.8724 0.8724 0.3828
0.0674 0.0674 0.7979
0.5032 0.5032 0.4905
0.9355 0.9355 0.1934
```

Computed properties:
Formation energy from raw total energies in meV/atom: -492
Raw total energy in eV/atom: -19.517
Space group: R3m, No. 160
Crystal system: trigonal